[1]
{"formula": "TlAuCl3", "functional": "PBE", "state": "optimized geometry", "spacegroup": "No. 140", "final_energy_ev_per_atom": -2.430, "cell": [[0.692, -7.316, -0.327], [3.677, 0.725, 6.329], [-6.825, 2.733, -0.240]], "species": ["Cl", "Cl", "Cl", "Cl", "Cl", "Cl", "Au", "Au", "Tl", "Tl"], "fractional_positions": [[0.854, 0.354, 0.208], [0.354, 0.146, 0.500], [0.646, 0.854, 0.500], [0.250, 0.250, 0.000], [0.146, 0.646, 0.792], [0.750, 0.750, 0.000], [0.250, 0.750, 0.500], [0.750, 0.250, 0.500], [0.500, 0.500, 0.000], [0.000, 0.000, 0.000]]}

=====

[2]
{"formula": "Co2Au", "functional": "PBE", "state": "optimized geometry", "spacegroup": "No. 227", "ef_mev_per_atom": 223, "magmom_total_mub_per_cell": 6.95, "cell": [[0.000, 3.414, 3.414], [3.414, 0.000, 3.414], [3.414, 3.414, 0.000]], "species": ["Co", "Co", "Co", "Co", "Au", "Au"], "fractional_positions": [[0.625, 0.625, 0.125], [0.625, 0.125, 0.625], [0.625, 0.625, 0.625], [0.125, 0.625, 0.625], [0.250, 0.250, 0.250], [0.000, 0.000, 0.000]]}

=====

[3]
{"formula": "CoAu3", "functional": "PBE", "state": "optimized geometry", "spacegroup": "No. 221", "ef_mev_per_atom": 240, "magmom_total_mub_per_cell": 1.75, "cell": [[-0.984, 2.140, -3.292], [-2.779, -2.776, -0.974], [-2.773, 2.023, 2.144]], "species": ["Au", "Au", "Au", "Co"], "fractional_positions": [[0.000, 0.500, 0.500], [0.500, 0.000, 0.500], [0.500, 0.500, 0.000], [0.000, 0.000, 0.000]]}

=====

[4]
{"formula": "CoAu", "functional": "PBE", "state": "optimized geometry", "spacegroup": "No. 194", "ef_mev_per_atom": 476, "magmom_total_mub_per_cell": 3.70, "cell": [[4.033, 0.000, 0.000], [-2.017, 3.493, 0.000], [0.000, 0.000, 4.600]], "species": ["Au", "Au", "Co", "Co"], "fractional_positions": [[0.333, 0.667, 0.250], [0.667, 0.333, 0.750], [0.000, 0.000, 0.000], [0.000, 0.000, 0.500]]}

=====

[5]
{"formula": "CoAu", "functional": "PBE", "state": "optimized geometry", "spacegroup": "No. 166", "ef_mev_per_atom": 326, "magmom_total_mub_per_cell": 1.77, "cell": [[1.395, 0.805, 4.385], [-1.395, 0.805, 4.385], [0.000, -1.611, 4.385]], "species": ["Co", "Au"], "fractional_positions": [[0.000, 0.000, 0.000], [0.500, 0.500, 0.500]]}

=====

[6]
{"formula": "CoAu", "functional": "PBE", "state": "optimized geometry", "spacegroup": "No. 194", "ef_mev_per_atom": 700, "magmom_total_mub_per_cell": 3.94, "cell": [[3.591, 0.000, 0.000], [-1.796, 3.110, 0.000], [0.000, 0.000, 6.056]], "species": ["Au", "Au", "Co", "Co"], "fractional_positions": [[0.000, 0.000, 0.500], [0.000, 0.000, 0.000], [0.667, 0.333, 0.750], [0.333, 0.667, 0.250]]}

=====

[7]
{"formula": "CoAu", "functional": "PBE", "state": "optimized geometry", "spacegroup": "No. 187", "ef_mev_per_atom": 340, "magmom_total_mub_per_cell": 1.82, "cell": [[-1.834, 2.108, -0.125], [-0.638, -2.326, 1.411], [1.742, 1.731, 3.643]], "species": ["Au", "Co"], "fractional_positions": [[0.667, 0.333, 0.750], [0.333, 0.667, 0.250]]}

=====

[8]
{"formula": "CoAu", "functional": "PBE", "state": "optimized geometry", "spacegroup": "No. 166", "ef_mev_per_atom": 195, "magmom_total_mub_per_cell": 3.47, "cell": [[1.388, 0.802, 8.897], [-1.388, 0.802, 8.897], [0.000, -1.603, 8.897]], "species": ["Co", "Co", "Au", "Au"], "fractional_positions": [[0.133, 0.133, 0.133], [0.867, 0.867, 0.867], [0.382, 0.382, 0.382], [0.618, 0.618, 0.618]]}

=====

[9]
{"formula": "CoAu", "functional": "PBE", "state": "optimized geometry", "spacegroup": "No. 164", "ef_mev_per_atom": 198, "magmom_total_mub_per_cell": 5.24, "cell": [[-2.650, -0.343, 0.705], [1.668, -2.193, -0.213], [3.292, 1.246, 12.978]], "species": ["Co", "Co", "Co", "Au", "Au", "Au"], "fractional_positions": [[0.000, 0.000, 0.500], [0.333, 0.667, 0.637], [0.667, 0.333, 0.363], [0.333, 0.667, 0.196], [0.000, 0.000, 0.000], [0.667, 0.333, 0.804]]}

=====

[10]
{"formula": "CoAu", "functional": "PBE", "state": "optimized geometry", "spacegroup": "No. 156", "ef_mev_per_atom": 190, "magmom_total_mub_per_cell": 7.02, "cell": [[2.760, 0.000, 0.000], [-1.380, 2.390, 0.000], [0.000, 0.000, 18.024]], "species": ["Au", "Au", "Au", "Au", "Co", "Co", "Co", "Co"], "fractional_positions": [[0.000, 0.000, 0.470], [0.667, 0.333, 0.324], [0.000, 0.000, 0.030], [0.333, 0.667, 0.177], [0.667, 0.333, 0.696], [0.333, 0.667, 0.905], [0.333, 0.667, 0.595], [0.000, 0.000, 0.804]]}

=====

[11]
{"formula": "Co3Au2", "functional": "PBE", "state": "optimized geometry", "spacegroup": "No. 167", "ef_mev_per_atom": 634, "magmom_total_mub_per_cell": 11.60, "cell": [[4.209, 0.025, -4.628], [0.735, 3.797, 4.918], [3.624, -4.617, -0.957]], "species": ["Co", "Co", "Co", "Co", "Co", "Co", "Au", "Au", "Au", "Au"], "fractional_positions": [[0.467, 0.750, 0.250], [0.533, 0.250, 0.750], [0.250, 0.967, 0.250], [0.033, 0.533, 0.250], [0.967, 0.467, 0.750], [0.750, 0.033, 0.750], [0.407, 0.593, 0.778], [0.593, 0.407, 0.222], [0.907, 0.093, 0.278], [0.093, 0.907, 0.722]]}

=====

Q: Which volume values were calculated for the entries above? A: 29.3; 13.3; 16.6; 16.2; 14.8; 16.9; 14.9; 14.9; 14.8; 14.9; 16.0, in Å³ per atom.